Computed, not measured: crystalline Zr2InCo at its relaxed geometry at the PBE-GGA level of DFT.

abc: 8.4630 8.4630 8.4630
angles: 23.44 23.44 23.44
Last column: nearest neighbours and their distance in Å.
Fractional coordinates of all 4 atoms:
Co1 0.2500 0.2500 0.2500  6 Zr 2.54
In1 0.7500 0.7500 0.7500  6 Zr 3.22, 6 In 3.44
Zr1 0.9806 0.9806 0.9806  3 Co 2.54
Zr2 0.5194 0.5194 0.5194  3 Co 2.54

Summary:
ΔE_f in eV per atom: -0.13
Spin magnetization in μB per formula unit: 0.00
Density in kg/m³: 7022